The following is a PBE-GGA calculation of an optimized crystal structure of Mg6ZnCo, from the Alexandria database. Values from VASP.

Geometry as Quantum ESPRESSO input:
```
&SYSTEM
  ibrav = 0, nat = 8, ntyp = 3
/
ATOMIC_SPECIES
Mg 24.30 Mg.upf
Zn 65.41 Zn.upf
Co 58.93 Co.upf
ATOMIC_POSITIONS angstrom
Mg 0.0000 0.0000 0.0000
Mg 0.0000 -1.4274 7.7329
Mg 0.0000 1.4274 7.7329
Mg 2.3920 0.0000 1.8022
Mg 2.3920 -1.4731 4.4445
Mg 2.3920 1.4731 4.4445
Zn 0.0000 0.0000 5.3118
Co 2.3920 0.0000 6.9921
CELL_PARAMETERS angstrom
4.7840 0.0000 0.0000
0.0000 3.0486 5.2076
0.0000 -3.0486 5.2076
```



The following is a PBE-GGA calculation of an optimized crystal structure of Mg2ZnCo, from the Alexandria database. Values from VASP.

Geometry as Quantum ESPRESSO input:
```
&SYSTEM
  ibrav = 0, nat = 4, ntyp = 3
/
ATOMIC_SPECIES
Mg 24.30 Mg.upf
Zn 65.41 Zn.upf
Co 58.93 Co.upf
ATOMIC_POSITIONS angstrom
Mg 0.0000 0.0000 6.5775
Mg 0.0000 0.0000 20.6383
Zn 0.0000 0.0000 0.0000
Co 0.0000 0.0000 13.6079
CELL_PARAMETERS angstrom
1.4530 0.8389 9.0719
-1.4530 0.8389 9.0719
0.0000 -1.6778 9.0719
```



The following is a PBE-GGA calculation of an optimized crystal structure of Mg2Zn3Co, from the Alexandria database. Values from VASP.

Geometry as Quantum ESPRESSO input:
```
&SYSTEM
  ibrav = 0, nat = 6, ntyp = 3
/
ATOMIC_SPECIES
Mg 24.30 Mg.upf
Zn 65.41 Zn.upf
Co 58.93 Co.upf
ATOMIC_POSITIONS angstrom
Mg 0.0000 0.0000 2.5624
Mg 0.0000 0.0000 8.1544
Zn 2.1587 0.0000 0.0000
Zn 2.1587 0.0000 4.1662
Zn 0.0000 2.4072 1.1922
Co 0.0000 0.0000 5.3584
CELL_PARAMETERS angstrom
-2.1587 2.4072 5.3584
2.1587 -2.4072 5.3584
2.1587 2.4072 -5.3584
```



Number 1: magnetic moment 1.07 μB/f.u., calculated total energy -2.15 eV/atom. Number 2: magnetic moment 1.23 μB/f.u., calculated total energy -2.71 eV/atom. Number 3: magnetic moment 0.83 μB/f.u., calculated total energy -2.18 eV/atom.